Entry 1:
The following is a DFT calculation (PBE-GGA) of a relaxed Pm2ScSb3Pd4 crystal.

Calculated values
Space group: P-4m2
Energy relative to the elements, uncorrected: -0.904 eV per atom
V: 223.4 Å³ per cell

Cell lengths 4.393, 4.393, 11.576 Å; angles 90.00, 90.00, 90.00 degrees
Atoms (fractional coordinates):
Pd 0.000 0.500 0.361
Pd 0.000 0.000 0.000
Pd 0.500 0.000 0.639
Pd 0.500 0.500 0.000
Sb 0.000 0.000 0.500
Sb 0.000 0.500 0.136
Sb 0.500 0.000 0.864
Sc 0.500 0.500 0.500
Pm 0.500 0.000 0.223
Pm 0.000 0.500 0.777

---

Entry 2:
The following is a DFT calculation (PBE-GGA) of a relaxed PmSmSbPd crystal.

Calculated values
Space group: F-43m
Energy relative to the elements, uncorrected: -0.786 eV per atom
V: 103.3 Å³ per cell

Cell lengths 5.267, 5.267, 5.267 Å; angles 60.00, 60.00, 60.00 degrees
Atoms (fractional coordinates):
Sb 0.250 0.250 0.250
Pm 0.500 0.500 0.500
Pd 0.750 0.750 0.750
Sm 0.000 0.000 0.000

---

Question: Which of these has the highest V?
Answer: Pm2ScSb3Pd4

---

Question: What is the V in the second record?
Answer: 103.3 Å³ per cell

---

Question: Which value of energy relative to the elements, uncorrected does entry 2 give?
Answer: -0.786 eV per atom

---

Please write out number 1 again, unchanged.
The following is a DFT calculation (PBE-GGA) of a relaxed Pm2ScSb3Pd4 crystal.

Calculated values
Space group: P-4m2
Energy relative to the elements, uncorrected: -0.904 eV per atom
V: 223.4 Å³ per cell

Cell lengths 4.393, 4.393, 11.576 Å; angles 90.00, 90.00, 90.00 degrees
Atoms (fractional coordinates):
Pd 0.000 0.500 0.361
Pd 0.000 0.000 0.000
Pd 0.500 0.000 0.639
Pd 0.500 0.500 0.000
Sb 0.000 0.000 0.500
Sb 0.000 0.500 0.136
Sb 0.500 0.000 0.864
Sc 0.500 0.500 0.500
Pm 0.500 0.000 0.223
Pm 0.000 0.500 0.777